A geometry-optimized BaNaTl2O4 structure. Source: Alexandria via LeMat-Bulk, functional PBE-GGA.

Calculated values
**Formation energy without anion corrections**: -1203.4 meV per atom
**Total magnetic moment**: 0.0 μB per cell

Cell lengths 6.3907, 6.3907, 11.6028 Å; angles 90.00, 90.00, 145.47 degrees
Last column: nearest neighbours and their distance in Å.
Sites, in units of the cell vectors:
Ba 0.1059 0.8941 0.7500  6 O 2.83-2.84
Ba 0.8941 0.1059 0.2500  6 O 2.83-2.84
Na 0.1604 0.8396 0.2500  4 O 2.18-2.21
Na 0.8396 0.1604 0.7500  4 O 2.18-2.21
Tl 0.3738 0.6262 0.5491  2 O 2.19-2.44
Tl 0.3738 0.6262 0.9509  2 O 2.19-2.44
Tl 0.6262 0.3738 0.0491  2 O 2.19-2.44
Tl 0.6262 0.3738 0.4509  2 O 2.19-2.44
O 0.0000 0.0000 0.0000  4 Tl 2.51
O 0.0000 0.0000 0.5000  4 Tl 2.51
O 0.2822 0.7178 0.1128  1 Na 2.18, 1 Tl 2.19
O 0.2822 0.7178 0.3872  1 Na 2.18, 1 Tl 2.19
O 0.4331 0.5669 0.7500  2 Na 2.21, 2 Tl 2.44
O 0.5669 0.4331 0.2500  2 Na 2.21, 2 Tl 2.44
O 0.7178 0.2822 0.6128  1 Na 2.18, 1 Tl 2.19
O 0.7178 0.2822 0.8872  1 Na 2.18, 1 Tl 2.19